[1]
SnOsPb2 after structural relaxation. Source: Alexandria via LeMat-Bulk, functional PBE.

Results
ΔH_f (0 K), eV/atom: 0.88
Space-group type: No. 122

abc: 4.2896 4.2896 11.0664
angles: 78.82 78.82 90.00
With the nearest neighbours (Å) after each atom.
Positions (direct):
Pb (0.3750, 0.3679, 0.7500)  4 Pb 2.99-3.08, 2 Os 3.05, 2 Sn 3.07
Sn (0.5000, 0.5000, 0.0000)  4 Os 3.03, 4 Pb 3.07
Sn (0.2500, 0.7500, 0.5000)  4 Os 3.03, 4 Pb 3.07
Pb (0.6321, 0.1250, 0.2500)  4 Pb 2.99-3.08, 2 Os 3.05, 2 Sn 3.07
Pb (0.1179, 0.6250, 0.2500)  4 Pb 2.99-3.08, 2 Os 3.05, 2 Sn 3.07
Os (0.7500, 0.2500, 0.5000)  4 Sn 3.03, 4 Pb 3.05
Pb (0.8750, 0.8821, 0.7500)  4 Pb 2.99-3.08, 2 Os 3.05, 2 Sn 3.07
Os (0.0000, 0.0000, 0.0000)  4 Sn 3.03, 4 Pb 3.05

[2]
Th2TiCu after structural relaxation. Source: Alexandria via LeMat-Bulk, functional PBE.

Results
ΔH_f (0 K), eV/atom: 0.10
Energy above the lowest structure with this stoichiometry, eV per formula unit: 0.00
Space-group type: No. 123

abc: 3.5009 5.2073 5.2073
angles: 90.00 90.00 90.00
With the nearest neighbours (Å) after each atom.
Positions (direct):
Th (0.0000, 0.0000, 0.5000)  4 Cu 3.14, 4 Ti 3.14, 2 Th 3.50
Th (0.0000, 0.5000, 0.0000)  4 Cu 3.14, 4 Ti 3.14, 2 Th 3.50
Ti (0.5000, 0.0000, 0.0000)  8 Th 3.14, 2 Ti 3.50
Cu (0.5000, 0.5000, 0.5000)  8 Th 3.14, 2 Cu 3.50

[3]
Ba2CaPrS4 after structural relaxation. Source: Alexandria via LeMat-Bulk, functional PBE.

Results
Space-group type: No. 10
Formation energy from raw total energies, meV/atom: -2043

abc: 4.2702 7.3915 7.5560
angles: 109.08 90.00 90.00
With the nearest neighbours (Å) after each atom.
Positions (direct):
S (0.5000, 0.7601, 0.7804)  2 Ca 2.92, 1 Pr 2.92, 3 Ba 3.17-3.18
S (0.0000, 0.7409, 0.2208)  1 Ca 2.92, 2 Pr 2.93, 3 Ba 3.17
Ca (0.0000, 0.0000, 0.0000)  6 S 2.92
S (0.0000, 0.2591, 0.7792)  1 Ca 2.92, 2 Pr 2.93, 3 Ba 3.17
Ba (0.5000, 0.0000, 0.5000)  6 S 3.17-3.18
S (0.5000, 0.2399, 0.2196)  2 Ca 2.92, 1 Pr 2.92, 3 Ba 3.17-3.18
Ba (0.0000, 0.5000, 0.5000)  6 S 3.17
Pr (0.5000, 0.5000, 0.0000)  6 S 2.92-2.93

| no. | N(E_F) (states/eV per atom) |
| --- | --- |
| 1 | 0.845 |
| 2 | 1.420 |
| 3 | 0.349 |